1.
First-principles (PBE-GGA) data for CdHRh2 after structural relaxation, as listed in Alexandria.

Results
- crystal system = tetragonal
- magnetic moment (μB per atom) = 0.0000
- excess energy over the best structure of this formula in the dataset (meV per atom) = 95
- density of states at the Fermi level (states/eV/cell) = 4.27

```
CdHRh2
1.0
6.074 0.000 0.000
0.000 6.074 0.000
3.037 3.037 2.867
Cd Rh H
2 4 2
direct
0.000 0.000 0.000
0.750 0.250 0.500
0.244 0.625 0.250
0.875 0.756 0.750
0.375 0.494 0.750
0.506 0.125 0.250
0.250 0.750 0.500
0.500 0.500 0.000
```

2.
First-principles (PBE-GGA) data for CsMoI2 after structural relaxation, as listed in Alexandria.

Results
- crystal system = cubic
- formation energy from raw total energies (eV/atom) = 0.27
- magnetic moment (μB per atom) = 1.2500
- density of states at the Fermi level (states/eV/cell) = 0.03

```
CsMoI2
1.0
0.000 4.270 4.270
4.270 0.000 4.270
4.270 4.270 0.000
I Cs Mo
2 1 1
direct
0.750 0.750 0.750
0.250 0.250 0.250
0.500 0.500 0.500
0.000 0.000 0.000
```

3.
First-principles (PBE-GGA) data for CdTe2Mo after structural relaxation, as listed in Alexandria.

Results
- crystal system = orthorhombic
- formation energy from raw total energies (eV/atom) = 0.14
- magnetic moment (μB per atom) = 0.1475
- density of states at the Fermi level (states/eV/cell) = 3.78

```
CdTe2Mo
1.0
-4.497 -2.612 -5.003
1.226 -3.540 -6.167
0.406 0.889 7.150
Cd Mo Te
1 1 2
direct
0.750 0.250 0.500
0.250 0.750 0.500
0.084 0.084 0.000
0.416 0.416 0.000
```

4.
First-principles (PBE-GGA) data for TaTc5 after structural relaxation, as listed in Alexandria.

Results
- crystal system = cubic
- calculated formation energy (eV/atom) = 0.0866
- magnetic moment (μB per atom) = 0.0000
- excess energy over the best structure of this formula in the dataset (meV per atom) = 88
- density of states at the Fermi level (states/eV/cell) = 6.23

```
TaTc5
1.0
-2.530 -3.037 3.224
-4.638 1.334 1.652
-4.112 -2.559 -1.602
Tc Ta
5 1
direct
0.626 0.626 0.122
0.626 0.626 0.626
0.626 0.122 0.626
0.250 0.250 0.250
0.122 0.626 0.626
0.000 0.000 0.000
```

5.
First-principles (PBE-GGA) data for KFe2Te after structural relaxation, as listed in Alexandria.

Results
- crystal system = monoclinic
- formation energy from raw total energies (eV/atom) = 0.16
- magnetic moment (μB per atom) = 1.0626
- density of states at the Fermi level (states/eV/cell) = 2.80

```
KFe2Te
1.0
4.273 -0.002 0.008
2.138 3.700 0.008
2.120 1.223 6.356
K Te Fe
1 1 2
direct
0.491 0.491 0.525
0.306 0.306 0.084
0.017 0.017 0.949
0.686 0.686 0.942
```

6.
First-principles (PBE-GGA) data for LiAsSe3 after structural relaxation, as listed in Alexandria.

Results
- crystal system = cubic
- formation energy from raw total energies (eV/atom) = 0.07
- magnetic moment (μB per atom) = 0.0000
- excess energy over the best structure of this formula in the dataset (meV per atom) = 365
- density of states at the Fermi level (states/eV/cell) = 4.18

```
LiAsSe3
1.0
-2.099 2.862 3.663
-1.818 -4.205 2.243
4.278 -0.383 2.750
Se Li As
3 1 1
direct
0.500 0.000 0.000
0.000 0.000 0.500
0.000 0.500 0.000
0.500 0.500 0.500
0.000 0.000 0.000
```

7.
First-principles (PBE-GGA) data for CsRbAgCl3 after structural relaxation, as listed in Alexandria.

Results
- crystal system = monoclinic
- formation energy from raw total energies (eV/atom) = -1.45
- magnetic moment (μB per atom) = 0.0000
- density of states at the Fermi level (states/eV/cell) = 0.00

```
CsRbAgCl3
1.0
-1.095 -2.923 -3.385
9.407 -3.335 -0.164
-3.941 -6.516 6.903
Cl Ag Cs Rb
6 2 2 2
direct
0.250 0.110 0.850
0.250 0.827 0.489
0.750 0.413 0.159
0.250 0.587 0.841
0.750 0.890 0.150
0.750 0.173 0.511
0.750 0.902 0.398
0.250 0.098 0.602
0.250 0.173 0.208
0.750 0.827 0.792
0.750 0.357 0.837
0.250 0.643 0.163
```

8.
First-principles (PBE-GGA) data for Ca5TbCd6 after structural relaxation, as listed in Alexandria.

Results
- crystal system = orthorhombic
- calculated formation energy (eV/atom) = -0.3583
- magnetic moment (μB per atom) = 0.0000
- density of states at the Fermi level (states/eV/cell) = 7.32

```
Ca5TbCd6
1.0
5.114 -0.031 1.704
0.041 7.690 0.014
0.008 -0.015 8.501
Cd Ca Tb
6 5 1
direct
0.836 0.754 0.328
0.500 0.241 0.000
0.836 0.246 0.328
0.164 0.754 0.672
0.500 0.759 0.000
0.164 0.246 0.672
0.667 0.500 0.666
0.000 0.500 0.000
0.333 0.500 0.334
0.333 0.000 0.334
0.667 0.000 0.666
0.000 0.000 0.000
```